# 1
A relaxed structure of CaPmTlGe. Source: Alexandria, functional GGA-PBE.

Output
symmetry	F-43m (216)

Cell and atoms, written as POSCAR:
```
CaPmTlGe
1.0
0.000 3.775 3.775
3.775 0.000 3.775
3.775 3.775 0.000
Ca Pm Tl Ge
1 1 1 1
Cartesian
0.000 0.000 0.000
3.775 3.775 3.775
5.662 5.662 5.662
1.887 1.887 1.887
```

---

# 2
A relaxed structure of CaPr2Ge. Source: Alexandria, functional GGA-PBE.

Output
ΔE to the lowest computed polymorph	1	meV per atom
symmetry	P4/mmm (123)

Cell and atoms, written as POSCAR:
```
CaPr2Ge
1.0
4.921 0.000 0.000
0.000 4.921 0.000
0.000 0.000 4.764
Ca Pr Ge
1 2 1
Cartesian
0.000 0.000 0.000
0.000 2.460 2.382
2.460 0.000 2.382
2.460 2.460 0.000
```

---

# 3
A relaxed structure of CaPrGe. Source: Alexandria, functional GGA-PBE.

Output
symmetry	R-3m (166)

Cell and atoms, written as POSCAR:
```
CaPrGe
1.0
2.536 1.464 8.414
-2.536 1.464 8.414
0.000 -2.928 8.414
Ca Pr Ge
2 2 2
Cartesian
0.000 0.000 3.239
0.000 0.000 22.004
0.000 0.000 9.544
0.000 0.000 15.699
0.000 0.000 6.322
0.000 0.000 18.920
```

---

# 4
A relaxed structure of CaPrGe2. Source: Alexandria, functional GGA-PBE.

Output
symmetry	R-3m (166)

Cell and atoms, written as POSCAR:
```
CaPrGe2
1.0
1.956 1.129 8.413
-1.956 1.129 8.413
0.000 -2.258 8.413
Ca Pr Ge
1 1 2
Cartesian
0.000 0.000 0.000
0.000 0.000 12.619
0.000 0.000 6.330
0.000 0.000 18.908
```

---

# 5
A relaxed structure of CaPrGe3. Source: Alexandria, functional GGA-PBE.

Output
symmetry	Cmcm (63)

Cell and atoms, written as POSCAR:
```
CaPrGe3
1.0
2.173 -13.738 0.000
2.173 13.738 0.000
0.000 0.000 4.065
Ca Pr Ge
2 2 6
Cartesian
2.173 8.121 3.049
2.173 -8.121 1.016
2.173 11.683 1.016
2.173 -11.683 3.049
2.173 4.982 3.049
2.173 3.391 1.016
2.173 0.765 1.016
2.173 -0.765 3.049
2.173 -3.391 3.049
2.173 -4.982 1.016
```

---

# 6
A relaxed structure of CaPr2Ge. Source: Alexandria, functional GGA-PBE.

Output
ΔE to the lowest computed polymorph	0	meV per atom
symmetry	P4/mmm (123)

Cell and atoms, written as POSCAR:
```
CaPr2Ge
1.0
4.121 0.000 0.000
0.000 4.121 0.000
0.000 0.000 7.070
Ca Pr Ge
1 2 1
Cartesian
0.000 0.000 0.000
2.061 2.061 2.033
2.061 2.061 5.038
0.000 0.000 3.535
```

---

# 7
A relaxed structure of CaPrGe2. Source: Alexandria, functional GGA-PBE.

Output
symmetry	Amm2 (38)

Cell and atoms, written as POSCAR:
```
CaPrGe2
1.0
4.046 0.000 0.000
0.000 2.267 5.533
0.000 -2.267 5.533
Ca Pr Ge
1 1 2
Cartesian
0.000 0.000 0.000
2.023 0.000 3.067
0.000 0.000 7.921
2.023 0.000 6.192
```

---

# 8
A relaxed structure of CaPrGe2. Source: Alexandria, functional GGA-PBE.

Output
symmetry	P4/mmm (123)

Cell and atoms, written as POSCAR:
```
CaPrGe2
1.0
3.405 0.000 0.000
0.000 3.405 0.000
0.000 0.000 8.465
Ca Pr Ge
1 1 2
Cartesian
0.000 0.000 0.000
0.000 0.000 4.232
1.703 1.703 2.085
1.703 1.703 6.380
```

---

| no. | energy relative to the elements (meV per atom) | ρ (Mg/m³) | total moment (μB/f.u.) |
| --- | --- | --- | --- |
| 1 | -441 | 7.135 | 0.0 |
| 2 | -284 | 5.680 | 0.0 |
| 3 | -527 | 4.494 | 0.5 |
| 4 | -381 | 4.860 | 0.0 |
| 5 | -613 | 5.458 | 0.0 |
| 6 | -286 | 5.455 | 0.0 |
| 7 | -739 | 5.337 | 0.0 |
| 8 | -560 | 5.520 | 0.0 |